Arrangement w

Density functional theory data (PBE) for KNbB2 after structural relaxation.

```
4
Lattice="2.130 -3.607 -1.301 -2.001 -3.901 0.145 -1.160 -2.010 -3.722" Properties=species:S:1:pos:R:3 pbc="T T T"
Nb -0.515 -4.759 -2.439
B -0.258 -2.379 -1.219
B -0.773 -7.138 -3.658
K 0.000 0.000 0.000
```

Summary:
Mass density in g/cm3: 4.275
V in Å³ per cell: 59.7
Space-group type: Fm-3m, No. 225

Arrangement x

Density functional theory data (PBE) for KNbB2 after structural relaxation.

```
8
Lattice="6.719 0.000 0.000 0.000 6.719 0.000 3.359 3.359 4.001" Properties=species:S:1:pos:R:3 pbc="T T T"
Nb 0.000 0.000 0.000
Nb 6.719 3.359 2.001
B 5.827 1.680 1.000
B 0.892 5.039 1.000
B 5.039 4.251 3.001
B 8.399 9.187 3.001
K 3.359 3.359 0.000
K 3.359 6.719 2.001
```

Summary:
Mass density in g/cm3: 2.825
V in Å³ per cell: 180.6
Space-group type: I-42d, No. 122

Stability check: which of them is most stable? arrangement x.

Arrangement w

Density functional theory data (PBE) for KNbB3 after structural relaxation.

```
5
Lattice="4.457 0.000 0.000 0.000 4.457 0.000 0.000 0.000 4.457" Properties=species:S:1:pos:R:3 pbc="T T T"
Nb 0.000 0.000 0.000
B 0.000 2.228 0.000
B 0.000 0.000 2.228
B 2.228 0.000 0.000
K 2.228 2.228 2.228
```

Summary:
Mass density in g/cm3: 3.085
V in Å³ per cell: 88.5
Space-group type: Pm-3m, No. 221

Arrangement x

Density functional theory data (PBE) for KNbB3 after structural relaxation.

```
5
Lattice="-2.812 2.885 -0.925 -0.714 -1.858 -3.623 -2.945 -2.305 1.762" Properties=species:S:1:pos:R:3 pbc="T T T"
Nb -3.236 -0.639 -1.393
B -0.357 -0.929 -1.812
B -1.472 -1.153 0.881
B -1.406 1.443 -0.462
K 0.000 0.000 0.000
```

Summary:
Mass density in g/cm3: 3.865
V in Å³ per cell: 70.7
Space-group type: Pm-3m, No. 221

Stability check: which of them is most stable? arrangement w.

Arrangement w

Density functional theory data (PBE) for KB3O5 after structural relaxation.

```
36
Lattice="-1.029 6.365 -1.509 1.335 -0.608 -6.457 -8.579 -0.571 -3.294" Properties=species:S:1:pos:R:3 pbc="T T T"
K -7.621 0.715 -7.227
K -4.175 1.925 -7.285
K -0.652 4.471 -4.034
K -4.098 3.260 -3.976
B -6.066 4.183 -8.752
B -6.509 0.753 -4.130
B -2.207 1.003 -2.509
B -1.764 4.432 -7.130
B -6.207 5.207 -6.420
B -7.510 3.099 -4.071
B -2.066 -0.022 -4.841
B -0.763 2.087 -7.189
B -4.736 -0.182 -2.664
B -7.631 4.505 -10.653
B -3.537 5.368 -8.596
B -0.642 0.680 -0.608
O -4.873 5.022 -9.242
O -7.738 0.021 -3.564
O -3.400 0.163 -2.019
O -0.535 5.164 -7.697
O -7.310 4.718 -9.283
O -5.508 0.935 -3.091
O -0.963 0.468 -1.978
O -2.765 4.251 -8.170
O -5.983 -0.087 -5.239
O -5.835 2.792 -9.226
O -2.290 5.272 -6.021
O -2.438 2.393 -2.035
O -5.992 4.163 -7.292
O -6.998 1.997 -4.721
O -2.281 1.023 -3.968
O -1.275 3.189 -6.539
O -5.620 5.128 -5.165
O -8.354 3.934 -4.789
O -2.653 0.057 -6.096
O 0.081 1.251 -6.472
```

Summary:
Mass density in g/cm3: 2.572
V in Å³ per cell: 391.3
Space-group type: C2/c, No. 15

Arrangement x

Density functional theory data (PBE) for KB3O5 after structural relaxation.

```
108
Lattice="6.730 0.000 0.000 0.000 9.497 -0.039 0.000 1.632 21.299" Properties=species:S:1:pos:R:3 pbc="T T T"
K 5.378 3.801 20.489
K 1.243 7.085 18.803
K 5.487 4.044 2.457
K 4.717 2.984 9.839
K 2.013 8.145 11.421
K 0.214 1.884 15.773
K 3.579 10.062 16.138
K 4.608 4.860 13.107
K 1.352 7.328 0.771
K 6.516 9.246 5.488
K 2.122 6.269 8.154
K 3.151 1.067 5.123
B 5.042 7.144 9.821
B 2.855 3.277 17.744
B 6.669 5.982 5.921
B 1.958 4.800 2.717
B 3.311 1.504 1.701
B 1.994 0.804 8.260
B 2.434 1.989 12.798
B 5.359 9.509 2.351
B 0.931 1.173 2.149
B 4.296 9.140 8.462
B 5.403 3.840 6.045
B 0.061 5.147 15.339
B 2.038 6.473 4.566
B 4.692 4.656 16.694
B 1.371 1.620 18.910
B 3.426 6.798 16.571
B 1.407 5.616 13.366
B 5.053 7.960 20.471
B 3.419 9.626 19.559
B 3.875 7.852 3.517
B 0.054 2.320 12.351
B 4.772 6.330 18.544
B 6.220 8.668 14.167
B 1.734 3.943 19.789
B 5.323 5.513 7.894
B 1.631 3.127 9.139
B 3.304 4.331 4.689
B 4.736 10.326 13.001
B 1.327 7.289 15.216
B 5.099 8.002 12.122
B 5.799 9.956 19.112
B 6.676 8.809 8.910
B 4.996 7.186 1.472
B 1.688 3.985 11.439
B 1.677 3.169 0.789
B 0.510 2.461 7.094
O 4.450 10.347 18.933
O 6.250 4.837 5.330
O 3.369 1.225 13.442
O 1.817 6.802 13.908
O 2.885 5.476 5.281
O 5.173 6.643 19.816
O 1.557 4.486 1.444
O 3.968 7.211 17.807
O 2.456 7.644 16.096
O 6.726 0.408 2.792
O 3.880 3.417 16.864
O 0.004 10.721 18.469
O 5.483 8.451 1.316
O 5.645 9.531 8.284
O 0.602 4.734 14.103
O 2.763 3.918 3.454
O 5.467 1.982 12.482
O 4.167 6.868 2.557
O 6.215 2.601 6.214
O 0.909 6.828 5.447
O 4.923 5.826 9.166
O 2.102 9.964 19.428
O 0.515 8.528 15.046
O 2.728 3.095 12.055
O 1.247 2.678 19.944
O 4.662 8.987 3.563
O 4.628 1.166 1.832
O 1.263 9.147 8.779
O 1.410 4.970 20.646
O 0.637 2.279 1.405
O 4.612 9.267 11.966
O 3.361 9.905 7.819
O 5.320 6.159 0.615
O 2.850 7.712 4.397
O 4.775 6.976 11.264
O 5.928 7.684 13.207
O 1.297 1.326 7.048
O 2.280 0.782 2.327
O 3.694 8.539 20.343
O 1.955 4.154 9.996
O 1.548 5.985 3.258
O 6.128 6.395 7.157
O 5.182 5.144 18.002
O 2.563 4.261 18.704
O 3.845 5.653 15.979
O 1.808 5.303 12.094
O 0.329 3.406 11.567
O 4.002 8.034 9.206
O 4.914 4.327 7.353
O 6.401 7.723 9.693
O 5.433 9.803 14.212
O 0.480 6.292 15.931
O 1.085 1.598 12.977
O 0.802 3.445 8.054
O 3.036 2.590 0.917
O 4.274 3.485 5.164
O 2.068 2.142 17.698
O 2.118 1.862 9.295
O 5.821 4.302 15.814
O 6.093 8.850 19.855
```

Summary:
Mass density in g/cm3: 2.217
V in Å³ per cell: 1361.8
Space-group type: P2_1/c, No. 14

Stability check: which of them is most stable? arrangement x.

Arrangement w

Density functional theory data (PBE) for KBS2O8 after structural relaxation.

```
12
Lattice="4.933 -0.678 0.619 1.674 4.690 0.619 1.453 0.882 8.376" Properties=species:S:1:pos:R:3 pbc="T T T"
K 0.727 0.441 4.188
B 0.000 0.000 0.000
S 4.554 2.765 2.927
S 3.507 2.129 6.688
O 4.741 1.436 6.966
O 5.557 3.374 1.546
O 5.290 3.212 4.088
O 2.770 1.682 5.527
O 2.504 1.520 8.069
O 3.461 3.544 6.966
O 4.599 1.350 2.649
O 3.320 3.457 2.649
```

Summary:
Mass density in g/cm3: 2.044
V in Å³ per cell: 196.7
Space-group type: C2/m, No. 12

Arrangement x

Density functional theory data (PBE) for KBS2O8 after structural relaxation.

```
48
Lattice="-1.109 8.620 3.172 2.412 -2.810 8.479 7.247 1.507 -1.562" Properties=species:S:1:pos:R:3 pbc="T T T"
K 2.634 4.973 0.899
K 6.257 5.726 0.118
K 5.265 -0.561 3.364
K 1.642 -1.314 4.145
B 3.623 0.753 -0.781
B 0.000 0.000 0.000
B 0.652 2.905 5.825
B 4.275 3.659 5.044
S 1.242 7.248 3.594
S 6.539 6.051 8.696
S 5.635 2.020 0.612
S 3.685 -0.684 7.276
S 5.548 5.785 3.842
S 2.663 4.171 7.218
S 2.264 2.393 3.652
S 6.626 2.286 5.466
O 3.084 0.350 8.076
O 4.897 3.212 0.930
O 6.251 4.645 8.598
O 0.817 6.001 3.015
O 6.423 2.026 6.866
O 1.378 2.928 2.652
O 2.523 3.423 8.438
O 4.725 5.831 2.662
O 7.227 1.253 4.666
O 3.002 1.200 3.333
O 2.950 5.578 7.316
O 5.972 7.032 4.420
O 3.888 -0.424 5.876
O 6.520 1.484 1.611
O 6.679 6.800 7.476
O 2.065 7.201 4.773
O 3.216 3.574 4.017
O 7.461 3.604 5.420
O 6.766 4.894 3.445
O 3.764 3.417 6.410
O 7.829 6.136 9.570
O 1.952 8.008 2.430
O 5.028 -1.017 7.997
O 6.398 2.362 -0.706
O 4.683 0.838 0.246
O 2.850 -2.001 7.322
O 0.024 8.138 3.991
O 5.438 6.806 9.504
O 1.373 4.087 6.343
O 4.838 5.025 5.005
O 5.282 2.619 4.745
O 1.500 2.051 4.969
```

Summary:
Mass density in g/cm3: 2.483
V in Å³ per cell: 647.6
Space-group type: P4/ncc, No. 130

Stability check: which of them is most stable? arrangement x.

Arrangement w

Density functional theory data (PBE) for K3SmB2O6 after structural relaxation.

```
48
Lattice="7.196 0.000 0.000 0.000 9.096 0.000 0.000 0.000 11.305" Properties=species:S:1:pos:R:3 pbc="T T T"
K 3.614 2.743 4.577
K 1.799 0.541 7.130
K 1.799 5.089 9.827
K 5.397 4.007 1.478
K 0.016 6.353 6.728
K 3.581 6.353 6.728
K 7.179 7.291 1.076
K 5.397 8.555 4.175
K 3.614 7.291 1.076
K 7.179 2.743 4.577
K 0.016 1.805 10.229
K 3.581 1.805 10.229
Sm 1.799 1.147 1.915
Sm 5.397 3.401 7.568
Sm 5.397 7.949 9.390
Sm 1.799 5.695 3.737
B 1.799 8.524 4.217
B 5.397 5.342 4.348
B 1.799 3.976 1.436
B 1.799 3.754 6.958
B 1.799 8.302 10.000
B 5.397 0.794 1.305
B 5.397 5.120 9.869
B 5.397 0.572 7.088
O 5.397 6.015 10.918
O 4.183 5.694 3.746
O 1.799 5.349 1.313
O 5.397 1.467 6.040
O 3.013 3.402 7.559
O 5.397 0.071 0.106
O 1.799 4.477 5.758
O 5.397 4.619 5.547
O 0.585 7.950 9.399
O 1.799 3.081 0.387
O 1.799 9.025 11.199
O 5.397 3.747 9.992
O 3.013 7.950 9.399
O 1.799 0.801 4.339
O 1.799 7.987 2.909
O 1.799 3.439 2.744
O 5.397 8.295 6.966
O 6.611 5.694 3.746
O 1.799 7.629 5.265
O 5.397 5.657 8.561
O 6.611 1.146 1.906
O 0.585 3.402 7.559
O 4.183 1.146 1.906
O 5.397 1.109 8.397
```

Summary:
Mass density in g/cm3: 3.458
V in Å³ per cell: 740.0
Space-group type: Pnma, No. 62

Arrangement x

Density functional theory data (PBE) for K3SmB2O6 after structural relaxation.

```
12
Lattice="-0.774 2.334 -5.070 3.023 -4.730 0.493 -5.788 -3.788 -0.861" Properties=species:S:1:pos:R:3 pbc="T T T"
K -2.550 -5.194 -2.002
K -0.989 -0.990 -3.436
K 0.000 0.000 0.000
Sm -2.894 -1.894 -0.430
B -3.596 -2.696 -3.824
B 0.057 -3.488 -1.615
O 0.262 -3.501 -2.995
O -0.703 -2.473 -1.031
O 0.594 -4.502 -0.820
O -2.836 -3.711 -4.407
O -3.801 -2.683 -2.444
O -4.133 -1.682 -4.618
```

Summary:
Mass density in g/cm3: 3.337
V in Å³ per cell: 191.7
Space-group type: P-3m1, No. 164

Stability check: which of them is most stable? arrangement w.

Arrangement w

Density functional theory data (PBE) for KBPS2 after structural relaxation.

```
5
Lattice="-4.632 -0.603 0.964 0.202 -4.416 -1.791 0.927 -1.408 3.575" Properties=species:S:1:pos:R:3 pbc="T T T"
P 0.463 -0.704 1.787
K -1.751 -3.213 1.374
B 0.000 0.000 0.000
S 0.101 -2.208 -0.896
S -2.316 -0.302 0.482
```

Summary:
Mass density in g/cm3: 2.678
V in Å³ per cell: 89.9
Space-group type: P4/mmm, No. 123

Arrangement x

Density functional theory data (PBE) for KBPS2 after structural relaxation.

```
5
Lattice="5.600 0.000 0.000 0.000 5.600 0.000 0.000 0.000 5.831" Properties=species:S:1:pos:R:3 pbc="T T T"
P 0.000 0.000 2.915
K 0.000 0.000 0.000
B 2.800 2.800 2.915
S 0.000 2.800 0.000
S 2.800 0.000 0.000
```

Summary:
Mass density in g/cm3: 1.317
V in Å³ per cell: 182.8
Space-group type: P4/mmm, No. 123

Stability check: which of them is most stable? arrangement w.

Arrangement w

Density functional theory data (PBE) for K2BPb after structural relaxation.

```
4
Lattice="0.000 4.010 4.010 4.010 0.000 4.010 4.010 4.010 0.000" Properties=species:S:1:pos:R:3 pbc="T T T"
Pb 4.010 4.010 4.010
K 2.005 2.005 2.005
K 6.016 6.016 6.016
B 0.000 0.000 0.000
```

Summary:
Mass density in g/cm3: 3.813
V in Å³ per cell: 129.0
Space-group type: Fm-3m, No. 225

Arrangement x

Density functional theory data (PBE) for K2BPb after structural relaxation.

```
8
Lattice="-1.536 12.305 -1.274 -11.222 -0.846 5.361 -5.408 6.067 4.130" Properties=species:S:1:pos:R:3 pbc="T T T"
Pb 0.000 0.000 0.000
Pb -6.662 12.051 2.450
K -3.389 6.488 1.177
K -8.884 5.140 3.953
K -11.224 8.668 5.769
K -12.836 14.756 5.535
B -6.379 5.730 2.044
B -11.505 5.475 5.767
```

Summary:
Mass density in g/cm3: 2.723
V in Å³ per cell: 361.3
Space-group type: I-42d, No. 122

Stability check: which of them is most stable? arrangement x.